## NpMnB2O8 (PBE with a Hubbard U)

Data for a geometry-optimized NpMnB2O8 structure.

Structure (extended XYZ):
```
12
Lattice="2.2844 1.3189 7.1318 -2.2844 1.3189 7.1318 0.0000 -2.6378 7.1318" Properties=species:S:1:pos:R:3 pbc="T T T"
Np 0.0000 0.0000 0.0000
Mn 0.0000 0.0000 10.6977
B 0.0000 0.0000 5.2682
B 0.0000 0.0000 16.1272
O -0.9091 -1.3580 8.4628
O 0.0000 0.0000 3.8395
O -0.7215 -1.4663 12.9326
O -0.7215 1.4663 8.4628
O -0.9091 1.3580 12.9326
O 1.6306 -0.1083 8.4628
O 0.0000 0.0000 17.5559
O 1.6306 0.1083 12.9326
```

Energy, eV/atom: -7.953